[1]
Here is crystalline Rb2Si2I at its relaxed geometry from Alexandria via LeMat-Bulk. Energies are from PBE-GGA.

Cell lengths 3.832, 3.832, 11.360 Å; angles 80.29, 80.29, 90.00 degrees
Fractional positions:
Rb1 0.391 0.391 0.218
Rb2 0.609 0.609 0.782
Si1 0.250 0.750 0.500
Si2 0.750 0.250 0.500
I1 0.000 0.000 0.000

## Properties
**E_tot**: -15.473 eV/cell
**Total magnetization**: 0.000 μB/cell
**Symmetry**: I4/mmm

***

[2]
Here is crystalline Zr2CoHIr at its relaxed geometry from Alexandria via LeMat-Bulk. Energies are from PBE-GGA.

Cell lengths 4.457, 4.457, 3.650 Å; angles 90.00, 90.00, 90.00 degrees
Each line ends with the local moment (μB).
Fractional positions:
H1 0.000 0.000 0.000  0.00
Ir1 0.000 0.000 0.500  0.03
Co1 0.500 0.500 0.500  1.05
Zr1 0.500 0.000 0.000  -0.05
Zr2 0.000 0.500 0.000  -0.05

## Properties
**E_tot**: -38.352 eV/cell
**Total magnetization**: 0.892 μB/cell
**Symmetry**: P4/mmm